Record 1
Computed, not measured: crystalline Y6MgSi2S14 at its relaxed geometry at the PBEsol level of DFT.

Calculated values
The energy relative to the elements, uncorrected comes out at -1.736 eV per atom.

```
23
Lattice="9.780 0.000 0.000 -4.890 8.470 0.000 0.000 0.000 5.557" Properties=species:S:1:pos:R:3 pbc="T T T"
Y -2.010 3.905 0.000
Y 2.017 1.742 2.813
Y -0.503 8.258 0.000
Y 2.513 4.777 0.000
Y 7.263 0.875 2.813
Y 5.390 5.852 2.813
Mg 4.890 2.823 1.301
Si 0.000 0.000 0.522
Si 0.000 5.646 3.254
S 0.000 0.000 3.982
S -0.320 1.941 1.357
S -3.049 7.777 1.357
S -1.837 6.339 4.101
S 0.319 3.709 4.101
S 0.000 5.646 1.161
S 2.858 2.064 5.501
S 4.554 0.683 2.645
S 1.519 6.891 4.101
S 3.204 4.184 2.645
S 6.563 1.443 5.501
S 3.369 7.222 1.357
S 5.249 4.962 5.501
S 6.912 3.603 2.645
```

---

Record 2
Computed, not measured: crystalline InRe3Ru at its relaxed geometry at the PBEsol level of DFT.

Calculated values
The formation energy comes out at 332.8 kJ per mole of atoms.

```
5
Lattice="4.662 0.000 0.000 0.000 4.662 0.000 0.000 0.000 4.662" Properties=species:S:1:pos:R:3 pbc="T T T"
In 0.000 0.000 0.000
Re 0.000 0.000 2.331
Re 0.000 2.331 0.000
Re 2.331 0.000 0.000
Ru 2.331 2.331 2.331
```

---

| no. | volume (Å³ per cell) | density (Mg/m³) |
| --- | --- | --- |
| 1 | 460 | 3.8 |
| 2 | 101 | 12.7 |